No. 1
NdBi, relaxed, DFT GGA-PBE; uncorrected energy = -5.110 eV/atom; magnetization = 0.0 Bohr magnetons per cell; symmetry = P-6m2, No. 187; excess energy over the best structure of this formula in the dataset = 263 meV/atom
1.0
4.251 0.000 0.000
-2.125 3.681 0.000
0.000 0.000 4.231
Nd Bi
1 1
Direct
0.000 0.000 0.000
0.333 0.667 0.500

No. 2
TePd15, relaxed, DFT GGA-PBE; uncorrected energy = -5.071 eV/atom; symmetry = P2/c, No. 13; excess energy over the best structure of this formula in the dataset = 7 meV/atom
1.0
4.794 0.000 0.000
0.000 35.133 0.000
-1.602 0.000 4.520
Te Pd
2 30
Direct
0.000 0.203 0.250
0.000 0.797 0.750
0.000 0.239 0.750
0.000 0.281 0.250
0.000 0.321 0.750
0.000 0.361 0.250
0.000 0.401 0.750
0.000 0.441 0.250
0.000 0.480 0.750
0.000 0.520 0.250
0.000 0.559 0.750
0.000 0.599 0.250
0.000 0.639 0.750
0.000 0.679 0.250
0.000 0.719 0.750
0.000 0.761 0.250
0.500 0.199 0.750
0.500 0.239 0.250
0.500 0.281 0.750
0.500 0.321 0.250
0.500 0.361 0.750
0.500 0.401 0.250
0.500 0.440 0.750
0.500 0.480 0.250
0.500 0.520 0.750
0.500 0.560 0.250
0.500 0.599 0.750
0.500 0.639 0.250
0.500 0.679 0.750
0.500 0.719 0.250
0.500 0.761 0.750
0.500 0.801 0.250

Q: Look up the uncorrected energy of the second one.
A: -5.071 eV/atom

Q: Which of these has the highest excess energy over the best structure of this formula in the dataset?
A: NdBi

Q: Among the records above, which one has the lowest uncorrected energy?
A: NdBi

Q: uncorrected energy of number 1 (NdBi)?
A: -5.110 eV/atom